No. 1
## Ce3OsPb (GGA-PBE)

Data for a geometry-optimized Ce3OsPb structure.

Lattice parameters (Å, degrees): 6.4115 9.6792 9.6792 58.09 85.90 85.90
Last column: nearest neighbours and their distance in Å.
Atoms (fractional coordinates):
Ce1 0.5661 0.6880 0.9832  2 Os 2.78-2.84, 2 Ce 2.89-3.07
Ce2 0.9339 0.0168 0.3120  2 Os 2.78-2.84, 2 Ce 2.89-3.07
Ce3 0.4339 0.3120 0.0168  2 Os 2.78-2.84, 2 Ce 2.89-3.07
Ce4 0.0661 0.9832 0.6880  2 Os 2.78-2.84, 2 Ce 2.89-3.07
Ce5 0.9658 0.3872 0.9525  3 Ce 2.85-3.09, 3 Os 3.09-3.17
Ce6 0.5342 0.0475 0.6128  3 Ce 2.85-3.09, 3 Os 3.09-3.17
Ce7 0.0342 0.6128 0.0475  3 Ce 2.85-3.09, 3 Os 3.09-3.17
Ce8 0.4658 0.9525 0.3872  3 Ce 2.85-3.09, 3 Os 3.09-3.17
Ce9 0.6280 0.5066 0.6959  2 Os 2.77-2.86, 2 Ce 2.89-3.09
Ce10 0.8720 0.3041 0.4934  2 Os 2.77-2.86, 2 Ce 2.89-3.09
Ce11 0.3720 0.4934 0.3041  2 Os 2.77-2.86, 2 Ce 2.89-3.09
Ce12 0.1280 0.6959 0.5066  2 Os 2.77-2.86, 2 Ce 2.89-3.09
Os1 0.8256 0.7446 0.7098  6 Ce 2.77-3.09
Os2 0.6744 0.2902 0.2554  6 Ce 2.77-3.09
Os3 0.1744 0.2554 0.2902  6 Ce 2.77-3.09
Os4 0.3256 0.7098 0.7446  6 Ce 2.77-3.09
Pb1 0.2500 0.9295 0.0705  8 Ce 3.38-3.72, 3 Pb 3.46-3.47
Pb2 0.7500 0.0705 0.9295  8 Ce 3.38-3.72, 3 Pb 3.46-3.47
Pb3 0.2500 0.2978 0.7022  8 Ce 3.24-3.42, 1 Pb 3.46
Pb4 0.7500 0.7022 0.2978  8 Ce 3.24-3.42, 1 Pb 3.46

Results
SG: C2/c
Relative energy among the computed polymorphs in meV/atom: 70
Formation enthalpy at 0 K in eV/atom: -0.18



No. 2
## Ce5OsPb (GGA-PBE)

Data for a geometry-optimized Ce5OsPb structure.

Lattice parameters (Å, degrees): 4.9280 4.9280 7.8451 90.00 90.00 90.00
Last column: nearest neighbours and their distance in Å.
Atoms (fractional coordinates):
Ce1 0.0000 0.5000 0.7963  2 Os 2.94, 1 Ce 3.20
Ce2 0.0000 0.5000 0.2037  2 Os 2.94, 1 Ce 3.20
Ce3 0.5000 0.0000 0.7963  2 Os 2.94, 1 Ce 3.20
Ce4 0.5000 0.0000 0.2037  2 Os 2.94, 1 Ce 3.20
Ce5 0.5000 0.5000 0.5000  8 Ce 3.39, 4 Pb 3.48
Os1 0.5000 0.5000 0.0000  8 Ce 2.94
Pb1 0.0000 0.0000 0.5000  12 Ce 3.39-3.48

Results
SG: P4/mmm
Relative energy among the computed polymorphs in meV/atom: 0
Formation enthalpy at 0 K in eV/atom: -0.19



No. 3
## Ce6Os2Pb (GGA-PBE)

Data for a geometry-optimized Ce6Os2Pb structure.

Lattice parameters (Å, degrees): 4.6774 5.8478 9.0783 92.16 90.00 113.57
Last column: nearest neighbours and their distance in Å.
Atoms (fractional coordinates):
Ce1 0.0752 0.1504 0.8655  3 Os 2.93-2.94, 3 Ce 2.98-2.99
Ce2 0.5971 0.1941 0.1729  3 Os 2.97-3.08, 2 Ce 2.99
Ce3 0.4029 0.8059 0.8271  3 Os 2.97-3.08, 2 Ce 2.99
Ce4 0.7106 0.4212 0.6046  1 Os 2.56
Ce5 0.2894 0.5788 0.3954  1 Os 2.56
Ce6 0.9248 0.8496 0.1345  3 Os 2.93-2.94, 3 Ce 2.98-2.99
Os1 0.7415 0.4830 0.8862  1 Ce 2.56
Os2 0.2585 0.5170 0.1138  1 Ce 2.56
Pb1 0.0000 0.0000 0.5000  8 Ce 3.28-3.38

Results
SG: C2/m
Relative energy among the computed polymorphs in meV/atom: 0
Formation enthalpy at 0 K in eV/atom: -0.26



No. 4
## Ce5Os2Pd (GGA-PBE)

Data for a geometry-optimized Ce5Os2Pd structure.

Lattice parameters (Å, degrees): 7.0546 7.0546 6.1099 125.26 125.26 90.00
Last column: nearest neighbours and their distance in Å.
Atoms (fractional coordinates):
Ce1 0.7225 0.2341 0.9566  1 Ce 2.82, 2 Pd 2.99-3.13, 4 Os 3.00-3.12
Ce2 0.2341 0.2341 0.9566  1 Ce 2.82, 2 Pd 2.99-3.13, 4 Os 3.00-3.12
Ce3 0.7225 0.7225 0.9566  1 Ce 2.82, 2 Pd 2.99-3.14, 4 Os 3.00-3.12
Ce4 0.2341 0.7225 0.9566  1 Ce 2.82, 2 Pd 2.99-3.13, 4 Os 3.00-3.12
Ce5 0.6791 0.6791 0.3583  4 Ce 2.82
Os1 0.2430 0.7429 0.4859  8 Ce 3.00-3.12
Os2 0.7429 0.2430 0.4859  8 Ce 3.00-3.12
Pd1 0.1987 0.1987 0.3975  8 Ce 2.99-3.14

Results
SG: I4mm
Formation enthalpy at 0 K in eV/atom: -0.13



No. 5
## Ce2OsPd (GGA-PBE)

Data for a geometry-optimized Ce2OsPd structure.

Lattice parameters (Å, degrees): 3.4133 3.4133 7.4437 90.00 90.00 90.00
Last column: nearest neighbours and their distance in Å.
Atoms (fractional coordinates):
Os1 0.5000 0.5000 0.0000  8 Ce 2.99
Pd1 0.5000 0.5000 0.5000  8 Ce 3.11, 4 Pd 3.41
Ce1 0.0000 0.0000 0.7639  4 Os 2.99, 4 Pd 3.11
Ce2 0.0000 0.0000 0.2361  4 Os 2.99, 4 Pd 3.11

Results
SG: P4/mmm
Formation enthalpy at 0 K in eV/atom: -0.39



No. 6
## Ce8Os2Pd (GGA-PBE)

Data for a geometry-optimized Ce8Os2Pd structure.

Lattice parameters (Å, degrees): 4.6586 6.8218 9.2223 109.47 104.63 90.00
Last column: nearest neighbours and their distance in Å.
Atoms (fractional coordinates):
Ce1 0.4083 0.5060 0.8166  2 Os 2.91, 2 Ce 3.06, 1 Pd 3.20
Ce2 0.6740 0.0253 0.3479  3 Os 2.80-2.97, 2 Ce 2.96, 1 Pd 3.05
Ce3 0.7999 0.6911 0.5998  2 Ce 2.96, 1 Os 3.28
Ce4 0.9914 0.2501 0.9828  1 Os 2.75, 2 Pd 2.92, 2 Ce 3.06
Ce5 0.2001 0.3089 0.4002  2 Ce 2.96, 1 Os 3.28
Ce6 0.3260 0.9747 0.6521  3 Os 2.80-2.97, 2 Ce 2.96, 1 Pd 3.05
Ce7 0.5917 0.4940 0.1834  2 Os 2.91, 2 Ce 3.06, 1 Pd 3.20
Ce8 0.0086 0.7499 0.0172  1 Os 2.75, 2 Pd 2.92, 2 Ce 3.06
Os1 0.8378 0.2543 0.6757  6 Ce 2.75-2.97
Os2 0.1622 0.7457 0.3243  6 Ce 2.75-2.97
Pd1 0.5000 0.0000 0.0000  8 Ce 2.92-3.20

Results
SG: C2/m
Formation enthalpy at 0 K in eV/atom: -0.20



No. 7
## Ce2OsPd (GGA-PBE)

Data for a geometry-optimized Ce2OsPd structure.

Lattice parameters (Å, degrees): 3.0265 3.0265 10.2589 81.52 81.52 60.00
Last column: nearest neighbours and their distance in Å.
Atoms (fractional coordinates):
Os1 0.5000 0.5000 0.5000  6 Ce 2.94, 6 Os 3.03
Pd1 0.0000 0.0000 0.0000  2 Ce 2.69
Ce1 0.0888 0.0888 0.7336  1 Pd 2.69, 3 Os 2.94
Ce2 0.9112 0.9112 0.2664  1 Pd 2.69, 3 Os 2.94

Results
SG: R-3m
Formation enthalpy at 0 K in eV/atom: 0.06



No. 8
## Ce2OsPd (GGA-PBE)

Data for a geometry-optimized Ce2OsPd structure.

Lattice parameters (Å, degrees): 5.7306 5.7324 11.5210 90.00 90.00 90.00
Last column: nearest neighbours and their distance in Å.
Atoms (fractional coordinates):
Ce1 0.7495 0.0000 0.8642  3 Os 2.76-2.87, 3 Pd 2.87-3.00
Ce2 0.2505 0.0000 0.1358  3 Os 2.76-2.87, 3 Pd 2.87-3.00
Ce3 0.7495 0.5000 0.6358  3 Os 2.76-2.87, 3 Pd 2.87-3.00
Ce4 0.2505 0.5000 0.3642  3 Os 2.76-2.87, 3 Pd 2.87-3.00
Ce5 0.7501 0.5001 0.1147  3 Os 2.76-2.87, 3 Pd 2.87-3.00
Ce6 0.2499 0.4999 0.8853  3 Os 2.76-2.87, 3 Pd 2.87-3.00
Ce7 0.7501 0.9999 0.3853  3 Os 2.76-2.87, 3 Pd 2.87-3.00
Ce8 0.2499 0.0001 0.6147  3 Os 2.76-2.87, 3 Pd 2.87-3.00
Os1 0.2502 0.9999 0.3751  6 Ce 2.76-2.87
Os2 0.7498 0.0001 0.6249  6 Ce 2.76-2.87
Os3 0.2502 0.5001 0.1249  6 Ce 2.76-2.87
Os4 0.7498 0.4999 0.8751  6 Ce 2.76-2.87
Pd1 0.2494 0.5002 0.6245  6 Ce 2.87-3.00
Pd2 0.7506 0.4998 0.3755  6 Ce 2.87-3.00
Pd3 0.2494 0.9998 0.8755  6 Ce 2.87-3.00
Pd4 0.7506 0.0002 0.1245  6 Ce 2.87-3.00

Results
SG: Imma
Formation enthalpy at 0 K in eV/atom: -0.34



No. 9
## Ce6Os3Pd (GGA-PBE)

Data for a geometry-optimized Ce6Os3Pd structure.

Lattice parameters (Å, degrees): 6.9881 7.4179 9.9028 90.00 90.44 90.00
Last column: nearest neighbours and their distance in Å.
Atoms (fractional coordinates):
Ce1 0.6598 0.1755 0.9263  2 Os 2.75-2.83, 1 Pd 2.80
Ce2 0.6745 0.1622 0.5771  2 Os 2.69-2.94, 1 Pd 2.89
Ce3 0.6974 0.4159 0.2472  3 Os 2.66-2.87, 1 Pd 2.93
Ce4 0.3026 0.5841 0.7528  3 Os 2.66-2.87, 1 Pd 2.93
Ce5 0.3255 0.8378 0.4229  2 Os 2.69-2.94, 1 Pd 2.89
Ce6 0.3402 0.8245 0.0737  2 Os 2.75-2.83, 1 Pd 2.80
Ce7 0.1598 0.3245 0.4263  2 Os 2.75-2.83, 1 Pd 2.80
Ce8 0.1745 0.3378 0.0771  2 Os 2.69-2.94, 1 Pd 2.89
Ce9 0.1974 0.0841 0.7472  3 Os 2.66-2.87, 1 Pd 2.93
Ce10 0.8026 0.9159 0.2528  3 Os 2.66-2.87, 1 Pd 2.93
Ce11 0.8255 0.6622 0.9229  2 Os 2.69-2.94, 1 Pd 2.89
Ce12 0.8402 0.6755 0.5737  2 Os 2.75-2.83, 1 Pd 2.80
Os1 0.5181 0.8914 0.7629  4 Ce 2.66-2.94
Os2 0.5000 0.5000 0.0000  6 Ce 2.69-2.87
Os3 0.4819 0.1086 0.2371  4 Ce 2.66-2.94
Os4 0.0181 0.6086 0.2629  4 Ce 2.66-2.94
Os5 0.0000 0.0000 0.5000  6 Ce 2.69-2.87
Os6 0.9819 0.3914 0.7371  4 Ce 2.66-2.94
Pd1 0.5000 0.5000 0.5000  6 Ce 2.80-2.93
Pd2 0.0000 0.0000 0.0000  6 Ce 2.80-2.93

Results
SG: P2_1/c
Formation enthalpy at 0 K in eV/atom: -0.17



No. 10
## CePmOsPd (GGA-PBE)

Data for a geometry-optimized CePmOsPd structure.

Lattice parameters (Å, degrees): 4.9869 4.9869 4.9869 60.00 60.00 60.00
Last column: nearest neighbours and their distance in Å.
Atoms (fractional coordinates):
Os1 0.5000 0.5000 0.5000  4 Pm 3.05, 4 Ce 3.05
Pd1 0.0000 0.0000 0.0000  4 Ce 3.05, 4 Pm 3.05
Ce1 0.7500 0.7500 0.7500  4 Os 3.05, 4 Pd 3.05
Pm1 0.2500 0.2500 0.2500  4 Os 3.05, 4 Pd 3.05

Results
SG: F-43m
Formation enthalpy at 0 K in eV/atom: -0.37



No. 11
## CePrOsPd (GGA-PBE)

Data for a geometry-optimized CePrOsPd structure.

Lattice parameters (Å, degrees): 5.0225 5.0225 5.0225 60.00 60.00 60.00
Last column: nearest neighbours and their distance in Å.
Atoms (fractional coordinates):
Pr1 0.7500 0.7500 0.7500  4 Os 3.08, 4 Pd 3.08
Os1 0.5000 0.5000 0.5000  4 Ce 3.08, 4 Pr 3.08
Pd1 0.0000 0.0000 0.0000  4 Pr 3.08, 4 Ce 3.08
Ce1 0.2500 0.2500 0.2500  4 Os 3.08, 4 Pd 3.08

Results
SG: F-43m
Formation enthalpy at 0 K in eV/atom: -0.32



No. 12
## CeSmOsPd (GGA-PBE)

Data for a geometry-optimized CeSmOsPd structure.

Lattice parameters (Å, degrees): 4.9748 4.9748 4.9748 60.00 60.00 60.00
Last column: nearest neighbours and their distance in Å.
Atoms (fractional coordinates):
Pd1 0.5000 0.5000 0.5000  4 Ce 3.05, 4 Sm 3.05
Os1 0.0000 0.0000 0.0000  4 Ce 3.05, 4 Sm 3.05
Ce1 0.7500 0.7500 0.7500  4 Os 3.05, 4 Pd 3.05
Sm1 0.2500 0.2500 0.2500  4 Os 3.05, 4 Pd 3.05

Results
SG: F-43m
Formation enthalpy at 0 K in eV/atom: -0.39